Record 1
# RbAsRuSe2 (GGA-PBE, relaxed)
# Energy above the most stable polymorph in this dataset   0 meV/atom
# Volume   129 Å³/cell
# Magnetization   1.78 μB per formula unit
# Formation energy (no corrections)   -0.04 eV per atom
# Calculated density   5.4 Mg/m³
data_RbAsRuSe2
_space_group_name_H-M_alt 'P 4/m m m'
_space_group_IT_number 123
_space_group_name_Hall '-P 4 2'
_cell_length_a 5.250
_cell_length_b 5.250
_cell_length_c 4.695
_cell_angle_alpha 90.00
_cell_angle_beta 90.00
_cell_angle_gamma 90.00
loop_
_atom_site_label
_atom_site_fract_x
_atom_site_fract_y
_atom_site_fract_z
Rb1 0.000 0.000 0.000
As1 0.500 0.500 0.000
Ru1 0.500 0.500 0.500
Se1 0.000 0.500 0.500

***

Record 2
# LiCaZn3Ag (GGA-PBE, relaxed)
# Volume   449 Å³/cell
# ΔH_f (0 K)   -0.125 eV per atom
# Magnetization   0.00 μB per formula unit
# Calculated density   5.2 Mg/m³
data_LiCaZn3Ag
_space_group_name_H-M_alt 'C m c m'
_space_group_IT_number 63
_space_group_name_Hall '-C 2c 2'
_cell_length_a 5.861
_cell_length_b 13.243
_cell_length_c 5.788
_cell_angle_alpha 90.00
_cell_angle_beta 90.00
_cell_angle_gamma 90.00
loop_
_atom_site_label
_atom_site_fract_x
_atom_site_fract_y
_atom_site_fract_z
Li1 0.000 0.090 0.250
Ca1 0.000 0.299 0.250
Zn1 0.000 0.128 0.750
Zn2 0.218 0.500 0.000
Ag1 0.000 0.342 0.750

***

Record 3
# LiLaTlGa (GGA-PBE, relaxed)
# Volume   399 Å³/cell
# ΔH_f (0 K)   -0.374 eV per atom
# Magnetization   0.00 μB per formula unit
# Calculated density   7.0 Mg/m³
data_LiLaTlGa
_space_group_name_H-M_alt 'F -4 3 m'
_space_group_IT_number 216
_space_group_name_Hall 'F -4 2 3'
_cell_length_a 7.364
_cell_length_b 7.364
_cell_length_c 7.364
_cell_angle_alpha 90.00
_cell_angle_beta 90.00
_cell_angle_gamma 90.00
loop_
_atom_site_label
_atom_site_fract_x
_atom_site_fract_y
_atom_site_fract_z
Li1 0.000 0.000 0.000
La1 0.000 0.000 0.500
Tl1 0.250 0.250 0.750
Ga1 0.250 0.250 0.250

***

Record 4
# MgZnTc3 (GGA-PBE, relaxed)
# Energy above the most stable polymorph in this dataset   505 meV/atom
# Volume   91 Å³/cell
# ΔH_f (0 K)   2.026 eV per atom
# Magnetization   0.00 μB per formula unit
# Calculated density   7.0 Mg/m³
data_MgZnTc3
_space_group_name_H-M_alt 'P m -3 m'
_space_group_IT_number 221
_space_group_name_Hall '-P 4 2 3'
_cell_length_a 4.491
_cell_length_b 4.491
_cell_length_c 4.491
_cell_angle_alpha 90.00
_cell_angle_beta 90.00
_cell_angle_gamma 90.00
loop_
_atom_site_label
_atom_site_fract_x
_atom_site_fract_y
_atom_site_fract_z
Mg1 0.000 0.000 0.000
Zn1 0.500 0.500 0.500
Tc1 0.000 0.000 0.500

***

Record 5
# GaSn2S (GGA-PBE, relaxed)
# Energy above the most stable polymorph in this dataset   0 meV/atom
# Volume   489 Å³/cell
# Magnetization   0.00 μB per formula unit
# Formation energy (no corrections)   0.01 eV per atom
# Calculated density   4.6 Mg/m³
data_GaSn2S
_space_group_name_H-M_alt 'I -4 2 d'
_space_group_IT_number 122
_space_group_name_Hall 'I -4 2bw'
_cell_length_a 6.099
_cell_length_b 6.099
_cell_length_c 13.151
_cell_angle_alpha 90.00
_cell_angle_beta 90.00
_cell_angle_gamma 90.00
loop_
_atom_site_label
_atom_site_fract_x
_atom_site_fract_y
_atom_site_fract_z
Ga1 0.000 0.000 0.000
Sn1 0.247 0.250 0.125
S1 0.000 0.000 0.500

***

Record 6
# Li2TaTe (GGA-PBE, relaxed)
# Volume   134 Å³/cell
# Magnetization   0.01 μB per formula unit
# Formation energy (no corrections)   0.04 eV per atom
# Calculated density   8.0 Mg/m³
data_Li2TaTe
_space_group_name_H-M_alt 'I m m 2'
_space_group_IT_number 44
_cell_length_a 3.836
_cell_length_b 3.951
_cell_length_c 8.825
_cell_angle_alpha 90.00
_cell_angle_beta 90.00
_cell_angle_gamma 90.00
loop_
_space_group_symop_operation_xyz
'x,y,z'
'-x,-y,z'
'-x,y,z'
'x,-y,z'
'x+1/2,y+1/2,z+1/2'
'-x+1/2,-y+1/2,z+1/2'
'-x+1/2,y+1/2,z+1/2'
'x+1/2,-y+1/2,z+1/2'
loop_
_atom_site_label
_atom_site_fract_x
_atom_site_fract_y
_atom_site_fract_z
Li1 0.000 0.000 0.000
Li2 0.000 0.500 0.252
Ta1 0.000 0.500 0.750
Te1 0.000 0.000 0.502

***

Record 7
# ScIrCl2 (GGA-PBE, relaxed)
# Energy above the most stable polymorph in this dataset   647 meV/atom
# Volume   137 Å³/cell
# Magnetization   0.00 μB per formula unit
# Formation energy (no corrections)   -0.28 eV per atom
# Calculated density   7.4 Mg/m³
data_ScIrCl2
_space_group_name_H-M_alt 'I -4 m 2'
_space_group_IT_number 119
_space_group_name_Hall 'I -4 -2'
_cell_length_a 3.766
_cell_length_b 3.766
_cell_length_c 9.684
_cell_angle_alpha 90.00
_cell_angle_beta 90.00
_cell_angle_gamma 90.00
loop_
_atom_site_label
_atom_site_fract_x
_atom_site_fract_y
_atom_site_fract_z
Sc1 0.000 0.000 0.000
Ir1 0.000 0.500 0.250
Cl1 0.000 0.000 0.500
Cl2 0.000 0.500 0.750

***

Record 8
# Sc2IF (GGA-PBE, relaxed)
# Energy above the most stable polymorph in this dataset   52 meV/atom
# Volume   387 Å³/cell
# Magnetization   0.00 μB per formula unit
# Formation energy (no corrections)   -1.11 eV per atom
# Calculated density   4.0 Mg/m³
data_Sc2IF
_space_group_name_H-M_alt 'I -4 2 d'
_space_group_IT_number 122
_space_group_name_Hall 'I -4 2bw'
_cell_length_a 5.794
_cell_length_b 5.794
_cell_length_c 11.532
_cell_angle_alpha 90.00
_cell_angle_beta 90.00
_cell_angle_gamma 90.00
loop_
_atom_site_label
_atom_site_fract_x
_atom_site_fract_y
_atom_site_fract_z
Sc1 0.142 0.250 0.125
I1 0.000 0.000 0.500
F1 0.000 0.000 0.000

***

Record 9
# LiTiMo2N (GGA-PBE, relaxed)
# Volume   90 Å³/cell
# Magnetization   0.00 μB per formula unit
# Formation energy (no corrections)   2.37 eV per atom
# Calculated density   4.8 Mg/m³
data_LiTiMo2N
_space_group_name_H-M_alt 'P 4/m m m'
_space_group_IT_number 123
_space_group_name_Hall '-P 4 2'
_cell_length_a 4.472
_cell_length_b 4.472
_cell_length_c 4.520
_cell_angle_alpha 90.00
_cell_angle_beta 90.00
_cell_angle_gamma 90.00
loop_
_atom_site_label
_atom_site_fract_x
_atom_site_fract_y
_atom_site_fract_z
Li1 0.000 0.000 0.000
Ti1 0.000 0.000 0.500
Mo1 0.000 0.500 0.500
N1 0.500 0.500 0.000

***

Record 10
# CaHgIr3 (GGA-PBE, relaxed)
# Energy above the most stable polymorph in this dataset   0 meV/atom
# Volume   124 Å³/cell
# ΔH_f (0 K)   1.591 eV per atom
# Magnetization   1.98 μB per formula unit
# Calculated density   10.9 Mg/m³
data_CaHgIr3
_space_group_name_H-M_alt 'P m -3 m'
_space_group_IT_number 221
_space_group_name_Hall '-P 4 2 3'
_cell_length_a 4.988
_cell_length_b 4.988
_cell_length_c 4.988
_cell_angle_alpha 90.00
_cell_angle_beta 90.00
_cell_angle_gamma 90.00
loop_
_atom_site_label
_atom_site_fract_x
_atom_site_fract_y
_atom_site_fract_z
Ca1 0.000 0.000 0.000
Hg1 0.500 0.500 0.500
Ir1 0.000 0.500 0.500

***

Record 11
# BeAl3Tc (GGA-PBE, relaxed)
# Energy above the most stable polymorph in this dataset   956 meV/atom
# Volume   104 Å³/cell
# ΔH_f (0 K)   0.696 eV per atom
# Magnetization   0.00 μB per formula unit
# Calculated density   3.0 Mg/m³
data_BeAl3Tc
_space_group_name_H-M_alt 'P m -3 m'
_space_group_IT_number 221
_space_group_name_Hall '-P 4 2 3'
_cell_length_a 4.708
_cell_length_b 4.708
_cell_length_c 4.708
_cell_angle_alpha 90.00
_cell_angle_beta 90.00
_cell_angle_gamma 90.00
loop_
_atom_site_label
_atom_site_fract_x
_atom_site_fract_y
_atom_site_fract_z
Be1 0.000 0.000 0.000
Al1 0.000 0.500 0.500
Tc1 0.500 0.500 0.500

***

Record 12
# Hg2SbP (GGA-PBE, relaxed)
# Energy above the most stable polymorph in this dataset   421 meV/atom
# Volume   92 Å³/cell
# Magnetization   0.00 μB per formula unit
# Formation energy (no corrections)   0.51 eV per atom
# Calculated density   10.0 Mg/m³
data_Hg2SbP
_space_group_name_H-M_alt 'P 4/m m m'
_space_group_IT_number 123
_space_group_name_Hall '-P 4 2'
_cell_length_a 3.356
_cell_length_b 3.356
_cell_length_c 8.207
_cell_angle_alpha 90.00
_cell_angle_beta 90.00
_cell_angle_gamma 90.00
loop_
_atom_site_label
_atom_site_fract_x
_atom_site_fract_y
_atom_site_fract_z
Hg1 0.000 0.000 0.214
Sb1 0.500 0.500 0.500
P1 0.500 0.500 0.000

***

Question: Number 6 is which compound?
Answer: Li2TaTe

***

Question: Look up the calculated density of the sixth one.
Answer: 8.0 Mg/m³